i | DFT (PBE) results for a relaxed Be3CuPb crystal.

POSCAR file:
```
Be3CuPb
1.0
4.2407 0.0000 0.0000
0.0000 4.2407 0.0000
0.0000 0.0000 4.2407
Be Cu Pb
3 1 1
Cartesian
0.0000 0.0000 2.1203 Be
0.0000 2.1203 0.0000 Be
2.1203 0.0000 0.0000 Be
0.0000 0.0000 0.0000 Cu
2.1203 2.1203 2.1203 Pb
```

ii | DFT (PBE) results for a relaxed Be3CuPb crystal.

POSCAR file:
```
Be3CuPb
1.0
4.6202 0.0000 0.0000
0.0000 4.6202 0.0000
0.0000 0.0000 4.6202
Be Cu Pb
3 1 1
Cartesian
0.0000 0.0000 2.3101 Be
0.0000 2.3101 0.0000 Be
2.3101 0.0000 0.0000 Be
2.3101 2.3101 2.3101 Cu
0.0000 0.0000 0.0000 Pb
```

In terms of stability, i leads; the second structure lies 951 meV/atom higher.

i | DFT (PBE) results for a relaxed Be2Cu2Pb crystal.

POSCAR file:
```
Be2Cu2Pb
1.0
6.9577 0.0000 0.0000
0.0000 6.9577 0.0000
0.0000 0.0000 2.9310
Be Cu Pb
4 4 2
Cartesian
0.8180 2.6609 0.0000 Be
2.6609 6.1397 0.0000 Be
4.2968 0.8180 0.0000 Be
6.1397 4.2968 0.0000 Be
1.0438 4.5226 1.4655 Cu
2.4351 1.0438 1.4655 Cu
4.5226 5.9139 1.4655 Cu
5.9139 2.4351 1.4655 Cu
0.0000 0.0000 0.0000 Pb
3.4788 3.4788 0.0000 Pb
```

ii | DFT (PBE) results for a relaxed Be2Cu2Pb crystal.

POSCAR file:
```
Be2Cu2Pb
1.0
-1.8626 1.8626 5.1543
1.8626 -1.8626 5.1543
1.8626 1.8626 -5.1543
Be Cu Pb
2 2 1
Cartesian
0.0000 0.0000 1.1395 Be
0.0000 0.0000 9.1692 Be
1.8626 0.0000 2.5772 Cu
0.0000 1.8626 2.5772 Cu
0.0000 0.0000 5.1543 Pb
```

In terms of stability, ii leads; the second structure lies 15 meV/atom higher.

i | DFT (PBE) results for a relaxed BeCuPd6 crystal.

POSCAR file:
```
BeCuPd6
1.0
-2.0019 2.0019 7.0507
2.0019 -2.0019 7.0507
2.0019 2.0019 -7.0507
Be Cu Pd
1 1 6
Cartesian
0.0000 0.0000 0.0000 Be
0.0000 0.0000 7.0507 Cu
2.0019 0.0000 1.5318 Pd
0.0000 0.0000 3.5300 Pd
2.0019 0.0000 5.5188 Pd
0.0000 2.0019 1.5318 Pd
0.0000 0.0000 10.5714 Pd
0.0000 2.0019 5.5188 Pd
```

ii | DFT (PBE) results for a relaxed BeCuPd6 crystal.

POSCAR file:
```
BeCuPd6
1.0
4.9185 0.0000 0.0000
-0.7168 4.8808 0.0000
-0.7289 -0.8296 4.8192
Be Cu Pd
1 1 6
Cartesian
0.0000 0.0000 0.0000 Be
1.7364 2.0256 2.4096 Cu
-0.6842 3.2622 2.9325 Pd
0.1591 1.1341 4.5055 Pd
1.0925 4.3741 1.1031 Pd
2.3804 -0.3229 3.7162 Pd
3.3137 2.9171 0.3138 Pd
4.1570 0.7890 1.8867 Pd
```

In terms of stability, i leads; the second structure lies 51 meV/atom higher.

i | DFT (PBE) results for a relaxed Be2Cu2Pd crystal.

POSCAR file:
```
Be2Cu2Pd
1.0
1.4174 -7.4060 0.0000
1.4174 7.4060 0.0000
0.0000 0.0000 2.7178
Be Cu Pd
2 2 1
Cartesian
1.4174 6.0086 0.0000 Be
1.4174 -6.0086 0.0000 Be
1.4174 2.6939 1.3589 Cu
1.4174 -2.6939 1.3589 Cu
1.4174 0.0000 1.3589 Pd
```

ii | DFT (PBE) results for a relaxed Be2Cu2Pd crystal.

POSCAR file:
```
Be2Cu2Pd
1.0
6.3700 0.0000 0.0000
0.0000 6.3700 0.0000
0.0000 0.0000 2.6904
Be Cu Pd
4 4 2
Cartesian
0.8815 2.3035 0.0000 Be
2.3035 5.4885 0.0000 Be
4.0665 0.8815 0.0000 Be
5.4885 4.0665 0.0000 Be
0.9750 4.1600 1.3452 Cu
2.2100 0.9750 1.3452 Cu
4.1600 5.3950 1.3452 Cu
5.3950 2.2100 1.3452 Cu
0.0000 0.0000 0.0000 Pd
3.1850 3.1850 0.0000 Pd
```

In terms of stability, ii leads; the second structure lies 23 meV/atom higher.

i | DFT (PBE) results for a relaxed PmBeCu4 crystal.

POSCAR file:
```
PmBeCu4
1.0
7.2785 0.0000 0.0000
0.0000 3.6584 0.0000
0.0000 0.0000 6.6651
Pm Be Cu
2 2 8
Cartesian
1.8196 0.0000 0.6977 Pm
5.4589 0.0000 5.9674 Pm
1.8196 0.0000 4.5565 Be
5.4589 0.0000 2.1086 Be
0.0000 0.0000 3.3325 Cu
0.4796 1.8292 5.2380 Cu
1.8196 1.8292 3.0932 Cu
3.1597 1.8292 5.2380 Cu
3.6392 0.0000 3.3325 Cu
4.1188 1.8292 1.4271 Cu
5.4589 1.8292 3.5719 Cu
6.7989 1.8292 1.4271 Cu
```

ii | DFT (PBE) results for a relaxed PmBeCu4 crystal.

POSCAR file:
```
PmBeCu4
1.0
0.0000 3.5493 3.5493
3.5493 0.0000 3.5493
3.5493 3.5493 0.0000
Pm Be Cu
1 1 4
Cartesian
0.0000 0.0000 0.0000 Pm
5.3240 5.3240 5.3240 Be
2.6754 2.6754 2.6754 Cu
4.4233 4.4233 2.6754 Cu
4.4233 2.6754 4.4233 Cu
2.6754 4.4233 4.4233 Cu
```

In terms of stability, i leads; the second structure lies 68 meV/atom higher.

i | DFT (PBE) results for a relaxed PmBeCu3 crystal.

POSCAR file:
```
PmBeCu3
1.0
5.9749 0.0000 0.0000
-2.9875 5.1744 0.0000
0.0000 0.0000 5.0348
Pm Be Cu
2 2 6
Cartesian
0.0000 3.4496 1.2587 Pm
2.9875 1.7248 3.7761 Pm
0.0000 0.0000 0.0000 Be
0.0000 0.0000 2.5174 Be
0.0000 1.9248 3.7761 Cu
-1.3205 4.2120 3.7761 Cu
1.6669 0.9624 1.2587 Cu
1.3205 4.2120 3.7761 Cu
4.3080 0.9624 1.2587 Cu
2.9875 3.2496 1.2587 Cu
```

ii | DFT (PBE) results for a relaxed PmBeCu3 crystal.

POSCAR file:
```
PmBeCu3
1.0
5.9434 0.0000 0.0000
-2.9717 5.1471 0.0000
0.0000 0.0000 10.2911
Pm Be Cu
4 4 12
Cartesian
0.0000 0.0000 0.0000 Pm
0.0000 0.0000 5.1455 Pm
0.0000 3.4314 2.5728 Pm
2.9717 1.7157 7.7183 Pm
0.0000 3.4314 6.6020 Be
0.0000 3.4314 8.8346 Be
2.9717 1.7157 1.4564 Be
2.9717 1.7157 3.6891 Be
-1.4858 2.5735 0.0000 Cu
-1.4858 2.5735 5.1455 Cu
0.0000 1.4733 7.7183 Cu
-1.6958 4.4105 7.7183 Cu
1.2759 0.7366 2.5728 Cu
2.9717 0.0000 0.0000 Cu
2.9717 0.0000 5.1455 Cu
1.4858 2.5735 0.0000 Cu
1.4858 2.5735 5.1455 Cu
1.6958 4.4105 7.7183 Cu
4.6675 0.7366 2.5728 Cu
2.9717 3.6738 2.5728 Cu
```

iii | DFT (PBE) results for a relaxed PmBeCu3 crystal.

POSCAR file:
```
PmBeCu3
1.0
4.3025 0.0000 0.0000
0.0000 4.3025 0.0000
0.0000 0.0000 4.3025
Pm Be Cu
1 1 3
Cartesian
0.0000 0.0000 0.0000 Pm
2.1513 2.1513 2.1513 Be
0.0000 2.1513 2.1513 Cu
2.1513 0.0000 2.1513 Cu
2.1513 2.1513 0.0000 Cu
```

In terms of stability, i leads; the second structure lies 11 meV/atom higher.

i | DFT (PBE) results for a relaxed PmBe2Cu3 crystal.

POSCAR file:
```
PmBe2Cu3
1.0
2.4976 1.4420 8.2088
-2.4976 1.4420 8.2088
0.0000 -2.8840 8.2088
Pm Be Cu
2 4 6
Cartesian
0.0000 0.0000 4.9328 Pm
0.0000 0.0000 19.6937 Pm
0.0000 0.0000 0.0000 Be
-1.2488 -0.7210 8.2088 Be
-1.2488 0.7210 16.4177 Be
0.0000 1.4420 8.2088 Be
0.0000 -1.4469 10.0281 Cu
-1.2531 0.7235 10.0281 Cu
-1.2531 -0.7235 14.5985 Cu
1.2531 0.7235 10.0281 Cu
1.2531 -0.7235 14.5985 Cu
0.0000 1.4469 14.5985 Cu
```

ii | DFT (PBE) results for a relaxed PmBe2Cu3 crystal.

POSCAR file:
```
PmBe2Cu3
1.0
4.6792 -3.8556 0.0000
4.6792 3.8556 0.0000
0.0000 0.0000 4.7204
Pm Be Cu
2 4 6
Cartesian
4.6792 2.5001 3.5403 Pm
4.6792 -2.5001 1.1801 Pm
2.7139 0.0000 0.0000 Be
2.7139 0.0000 2.3602 Be
6.6444 0.0000 0.0000 Be
6.6444 0.0000 2.3602 Be
2.8821 2.1246 1.1801 Cu
6.4762 2.1246 1.1801 Cu
4.6792 0.4527 1.1801 Cu
4.6792 -0.4527 3.5403 Cu
2.8821 -2.1246 3.5403 Cu
6.4762 -2.1246 3.5403 Cu
```

In terms of stability, ii leads; the second structure lies 250 meV/atom higher.

i | DFT (PBE) results for a relaxed PrBeCu crystal.

POSCAR file:
```
PrBeCu
1.0
2.2160 -6.9177 0.0000
2.2160 6.9177 0.0000
0.0000 0.0000 4.1710
Pr Be Cu
2 2 2
Cartesian
2.2160 5.0216 3.1283 Pr
2.2160 -5.0216 1.0428 Pr
2.2160 0.0000 0.0000 Be
2.2160 0.0000 2.0855 Be
2.2160 1.9130 3.1283 Cu
2.2160 -1.9130 1.0428 Cu
```

ii | DFT (PBE) results for a relaxed PrBeCu crystal.

POSCAR file:
```
PrBeCu
1.0
4.1397 0.0000 0.0000
-2.0699 3.5851 0.0000
0.0000 0.0000 3.9327
Pr Be Cu
1 1 1
Cartesian
0.0000 0.0000 0.0000 Pr
0.0000 2.3901 1.9663 Be
2.0699 1.1950 1.9663 Cu
```

In terms of stability, ii leads; the second structure lies 143 meV/atom higher.

i | DFT (PBE) results for a relaxed Pr2BeCu crystal.

POSCAR file:
```
Pr2BeCu
1.0
0.0000 3.6008 3.6008
3.6008 0.0000 3.6008
3.6008 3.6008 0.0000
Pr Be Cu
2 1 1
Cartesian
1.8004 1.8004 1.8004 Pr
5.4011 5.4011 5.4011 Pr
0.0000 0.0000 0.0000 Be
3.6008 3.6008 3.6008 Cu
```

ii | DFT (PBE) results for a relaxed Pr2BeCu crystal.

POSCAR file:
```
Pr2BeCu
1.0
3.6084 0.0000 0.0000
0.0000 3.6084 0.0000
0.0000 0.0000 7.1191
Pr Be Cu
2 1 1
Cartesian
0.0000 0.0000 1.7313 Pr
0.0000 0.0000 5.3878 Pr
1.8042 1.8042 0.0000 Be
1.8042 1.8042 3.5595 Cu
```

In terms of stability, ii leads; the second structure lies 19 meV/atom higher.

i | DFT (PBE) results for a relaxed Be2CuPt crystal.

POSCAR file:
```
Be2CuPt
1.0
3.8493 -1.3658 0.0000
3.8493 1.3658 0.0000
-1.0767 0.0000 4.3436
Be Cu Pt
2 1 1
Cartesian
1.6509 0.0000 1.0678 Be
4.9710 0.0000 3.2758 Be
-0.5383 0.0000 2.1718 Cu
3.8493 0.0000 0.0000 Pt
```

ii | DFT (PBE) results for a relaxed Be2CuPt crystal.

POSCAR file:
```
Be2CuPt
1.0
-1.3967 1.9174 4.0841
1.3967 -1.9174 4.0841
1.3967 1.9174 -4.0841
Be Cu Pt
2 1 1
Cartesian
0.0000 0.0000 0.0000 Be
0.0000 1.9174 2.1286 Be
1.3967 0.0000 1.9754 Cu
0.0000 0.0000 4.2224 Pt
```

iii | DFT (PBE) results for a relaxed Be2CuPt crystal.

POSCAR file:
```
Be2CuPt
1.0
4.2747 -1.3649 0.0000
4.2747 1.3649 0.0000
-1.2571 0.0000 3.7510
Be Cu Pt
2 1 1
Cartesian
0.0000 0.0000 0.0000 Be
5.8667 0.0000 1.2630 Be
1.0963 0.0000 3.1826 Cu
3.4806 0.0000 1.8154 Pt
```

iv | DFT (PBE) results for a relaxed Be2CuPt crystal.

POSCAR file:
```
Be2CuPt
1.0
2.8015 0.0000 0.0000
0.0000 2.7823 0.0000
-0.0128 0.0000 5.5370
Be Cu Pt
2 1 1
Cartesian
-0.0016 0.0000 1.4436 Be
2.7903 0.0000 4.0934 Be
1.3944 1.3911 2.7685 Cu
1.4008 1.3911 0.0000 Pt
```

In terms of stability, iv leads; the second structure lies 22 meV/atom higher.